# GaPS, relaxed, DFT PBE
data_GaPS
_cell_length_a 3.420
_cell_length_b 3.893
_cell_length_c 7.902
_cell_angle_alpha 90.00
_cell_angle_beta 90.00
_cell_angle_gamma 90.00
_symmetry_space_group_name_H-M 'C m m 2'
_symmetry_Int_Tables_number 35
loop_
_symmetry_equiv_pos_as_xyz
'x,y,z'
'-x,-y,z'
'-x,y,z'
'x,-y,z'
'x+1/2,y+1/2,z'
'-x+1/2,-y+1/2,z'
'-x+1/2,y+1/2,z'
'x+1/2,-y+1/2,z'
loop_
_atom_site_label
_atom_site_fract_x
_atom_site_fract_y
_atom_site_fract_z
_atom_site_occupancy
Ga1 0.000 0.000 0.000 1
P1 0.000 0.000 0.343 1
S1 0.000 0.000 0.633 1
# Raw formation energy, eV/atom: 0.288
# V, Å³ per cell: 105.2
# Density, kg/m³: 4192